Compound: KRbHg2As2
Source: the Open Quantum Materials Database
Functional: PBE-GGA
Structure: relaxed

a b c (Å): 4.632 4.632 10.519
angles (deg): 90.00 90.00 120.00
Fractional positions:
K1 0.000 0.000 0.500
As1 0.333 0.667 0.742
As2 0.667 0.333 0.258
Hg1 0.333 0.667 0.261
Hg2 0.667 0.333 0.739
Rb1 0.000 0.000 0.000

E (eV per formula unit): -14.11
ρ (g cm⁻³): 5.738